1.
# TbSm2Al2Zn2

An optimized crystal structure of TbSm2Al2Zn2 (PBE, Alexandria).

abc: 9.607 9.607 9.607
angles: 27.27 27.27 27.27
Positions (direct):
Tb1 0.000 0.000 0.000
Sm1 0.127 0.127 0.127
Sm2 0.873 0.873 0.873
Al1 0.267 0.267 0.267
Al2 0.733 0.733 0.733
Zn1 0.395 0.395 0.395
Zn2 0.605 0.605 0.605

Calculated values
The formation energy comes out at -0.316 eV per atom. The crystal system is trigonal.

2.
# TbSmAlZn

An optimized crystal structure of TbSmAlZn (PBE, Alexandria).

abc: 3.609 3.609 7.379
angles: 90.00 90.00 90.00
Positions (direct):
Tb1 0.000 0.000 0.000
Sm1 0.000 0.000 0.491
Al1 0.500 0.500 0.751
Zn1 0.500 0.500 0.235

Calculated values
The formation energy comes out at -0.363 eV per atom. The energy above the lowest structure with this stoichiometry comes out at 0 meV/atom. The crystal system is tetragonal.

3.
# SmAl3Tc

An optimized crystal structure of SmAl3Tc (PBE, Alexandria).

abc: 4.731 4.731 4.731
angles: 90.00 90.00 90.00
Positions (direct):
Sm1 0.000 0.000 0.000
Al1 0.000 0.500 0.500
Al2 0.500 0.000 0.500
Al3 0.500 0.500 0.000
Tc1 0.500 0.500 0.500

Calculated values
The formation energy comes out at -0.296 eV per atom. The energy above the lowest structure with this stoichiometry comes out at 31 meV/atom. The crystal system is cubic.

4.
# Sm3Al9Tc2

An optimized crystal structure of Sm3Al9Tc2 (PBE, Alexandria).

abc: 8.292 8.292 8.292
angles: 149.28 109.20 79.13
Positions (direct):
Sm1 0.000 0.000 0.000
Sm2 0.301 0.301 0.000
Sm3 0.699 0.699 0.000
Al1 0.011 0.652 0.359
Al2 0.160 0.878 0.282
Al3 0.293 0.652 0.641
Al4 0.405 0.122 0.282
Al5 0.500 0.000 0.500
Al6 0.595 0.878 0.718
Al7 0.707 0.348 0.359
Al8 0.840 0.122 0.718
Al9 0.989 0.348 0.641
Tc1 0.323 0.500 0.823
Tc2 0.677 0.500 0.177

Calculated values
The formation energy comes out at -0.463 eV per atom. The crystal system is orthorhombic.

5.
# Sm2AlTc3

An optimized crystal structure of Sm2AlTc3 (PBE, Alexandria).

abc: 5.535 5.535 5.535
angles: 58.25 58.25 58.25
Positions (direct):
Sm1 0.122 0.122 0.122
Sm2 0.878 0.878 0.878
Al1 0.500 0.500 0.500
Tc1 0.000 0.500 0.500
Tc2 0.500 0.000 0.500
Tc3 0.500 0.500 0.000

Calculated values
The formation energy comes out at -0.244 eV per atom. The crystal system is trigonal.

6.
# SmAl3Tc

An optimized crystal structure of SmAl3Tc (PBE, Alexandria).

abc: 6.377 6.377 5.545
angles: 90.00 90.00 120.00
Positions (direct):
Sm1 0.333 0.667 0.250
Sm2 0.667 0.333 0.750
Al1 0.193 0.386 0.750
Al2 0.193 0.807 0.750
Al3 0.386 0.193 0.250
Al4 0.614 0.807 0.750
Al5 0.807 0.193 0.250
Al6 0.807 0.614 0.250
Tc1 0.000 0.000 0.000
Tc2 0.000 0.000 0.500

Calculated values
The formation energy comes out at -0.328 eV per atom. The energy above the lowest structure with this stoichiometry comes out at 0 meV/atom. The crystal system is hexagonal.